DFT (PBE) results for Np2ZnB2Ru5 after structural relaxation.

```
Np2ZnB2Ru5
1.0
9.566 0.000 0.000
0.000 9.566 0.000
0.000 0.000 3.094
Np Zn B Ru
4 2 4 10
Direct
0.177 0.323 0.000
0.323 0.823 0.000
0.677 0.177 0.000
0.823 0.677 0.000
0.000 0.000 0.000
0.500 0.500 0.000
0.124 0.624 0.000
0.376 0.124 0.000
0.624 0.876 0.000
0.876 0.376 0.000
0.000 0.500 0.500
0.071 0.781 0.500
0.219 0.071 0.500
0.281 0.571 0.500
0.429 0.281 0.500
0.500 0.000 0.500
0.571 0.719 0.500
0.719 0.429 0.500
0.781 0.929 0.500
0.929 0.219 0.500
```

=====

DFT (PBE) results for AgAsIr3 after structural relaxation.

```
AgAsIr3
1.0
4.572 0.000 0.000
0.000 4.572 0.000
0.000 0.000 4.572
Ag As Ir
1 1 3
Direct
0.000 0.000 0.000
0.500 0.500 0.500
0.000 0.500 0.500
0.500 0.000 0.500
0.500 0.500 0.000
```

Summary:
Energy above the most stable polymorph in this dataset   0.000 eV per atom

=====

DFT (PBE) results for MgTl2Sn after structural relaxation.

```
MgTl2Sn
1.0
7.624 0.000 0.000
0.000 7.624 0.000
0.000 0.000 7.624
Mg Tl Sn
4 8 4
Direct
0.000 0.000 0.000
0.000 0.500 0.500
0.500 0.000 0.500
0.500 0.500 0.000
0.250 0.250 0.250
0.250 0.250 0.750
0.250 0.750 0.250
0.250 0.750 0.750
0.750 0.250 0.250
0.750 0.250 0.750
0.750 0.750 0.250
0.750 0.750 0.750
0.000 0.000 0.500
0.000 0.500 0.000
0.500 0.000 0.000
0.500 0.500 0.500
```

Summary:
Energy above the most stable polymorph in this dataset   0.097 eV per atom

=====

DFT (PBE) results for TbCeSm2Y5 after structural relaxation.

```
TbCeSm2Y5
1.0
-4.319 4.319 7.810
4.319 -4.319 7.810
4.319 4.319 -7.810
Tb Ce Sm Y
2 2 4 10
Direct
0.250 0.250 0.000
0.750 0.750 0.000
0.250 0.750 0.500
0.750 0.250 0.500
0.120 0.620 0.740
0.380 0.120 0.500
0.620 0.880 0.500
0.880 0.380 0.260
0.000 0.000 0.000
0.062 0.159 0.500
0.159 0.659 0.097
0.341 0.438 0.500
0.438 0.938 0.097
0.500 0.500 0.000
0.562 0.062 0.903
0.659 0.562 0.500
0.841 0.341 0.903
0.938 0.841 0.500
```

=====

no.,uncorrected energy (eV per atom)
1,-8.982
2,-5.765
3,-2.536
4,-5.551